<P>
DFT (PBE) results for an optimized crystal structure of Hf2MgTe.

Output
The space-group type is I-42d, No. 122. The value obtained for the total magnetic moment is 0.00 μB per cell.

Cell: 11.224 11.224 11.224 Å, 158.45 158.45 30.65°
Fractional coordinates of all 8 atoms:
Hf 0.121 0.625 0.996
Hf 0.375 0.371 0.496
Hf 0.629 0.125 0.004
Hf 0.875 0.879 0.504
Mg 0.250 0.750 0.500
Mg 0.500 0.500 0.000
Te 0.000 0.000 0.000
Te 0.750 0.250 0.500

<Q>
DFT (PBE) results for an optimized crystal structure of Hf2MgTe.

Output
The space-group type is Fm-3m, No. 225. The value obtained for the total magnetic moment is 0.00 μB per cell.

Cell: 4.985 4.985 4.985 Å, 60.00 60.00 60.00°
Fractional coordinates of all 4 atoms:
Hf 0.250 0.250 0.250
Hf 0.750 0.750 0.750
Mg 0.000 0.000 0.000
Te 0.500 0.500 0.500

The structure with the least stability is <P>.

<P>
DFT (PBE) results for an optimized crystal structure of HfThMg2.

Output
The space-group type is P4/mmm, No. 123. The value obtained for the total magnetic moment is 0.00 μB per cell.

Cell: 3.592 3.592 7.686 Å, 90.00 90.00 90.00°
Fractional coordinates of all 4 atoms:
Hf 0.000 0.000 0.000
Th 0.000 0.000 0.500
Mg 0.500 0.500 0.218
Mg 0.500 0.500 0.782

<Q>
DFT (PBE) results for an optimized crystal structure of HfThMg2.

Output
The space-group type is R-3m, No. 166. The value obtained for the total magnetic moment is 0.00 μB per cell.

Cell: 11.461 11.461 11.461 Å, 16.18 16.18 16.18°
Fractional coordinates of all 4 atoms:
Hf 0.000 0.000 0.000
Th 0.500 0.500 0.500
Mg 0.256 0.256 0.256
Mg 0.744 0.744 0.744

The structure with the least stability is <P>.

<P>
DFT (PBE) results for an optimized crystal structure of HfMg6Ti.

Output
The space-group type is Amm2, No. 38. The value obtained for the total magnetic moment is 1.46 μB per cell.

Cell: 4.961 6.406 6.406 Å, 58.59 90.00 90.00°
Fractional coordinates of all 8 atoms:
Hf 0.000 0.000 0.000
Mg 0.000 0.482 0.999
Mg 0.000 0.487 0.487
Mg 0.000 0.999 0.482
Mg 0.500 0.142 0.656
Mg 0.500 0.650 0.650
Mg 0.500 0.656 0.142
Ti 0.500 0.139 0.139

<Q>
DFT (PBE) results for an optimized crystal structure of HfMg6Ti.

Output
The space-group type is Amm2, No. 38. The value obtained for the total magnetic moment is 2.35 μB per cell.

Cell: 5.087 6.376 6.376 Å, 57.52 90.00 90.00°
Fractional coordinates of all 8 atoms:
Hf 0.000 0.000 0.000
Mg 0.000 0.001 0.500
Mg 0.000 0.500 0.001
Mg 0.500 0.158 0.158
Mg 0.500 0.166 0.664
Mg 0.500 0.651 0.651
Mg 0.500 0.664 0.166
Ti 0.000 0.498 0.498

The structure with the least stability is <Q>.

<P>
DFT (PBE) results for an optimized crystal structure of HfMgTl3.

Output
The space-group type is Pm-3m, No. 221. The value obtained for the total magnetic moment is 0.00 μB per cell.

Cell: 5.283 5.283 5.283 Å, 90.00 90.00 90.00°
Fractional coordinates of all 5 atoms:
Hf 0.000 0.000 0.000
Mg 0.500 0.500 0.500
Tl 0.000 0.500 0.500
Tl 0.500 0.000 0.500
Tl 0.500 0.500 0.000

<Q>
DFT (PBE) results for an optimized crystal structure of HfMgTl3.

Output
The space-group type is Pm-3m, No. 221. The value obtained for the total magnetic moment is 0.00 μB per cell.

Cell: 5.657 5.657 5.657 Å, 90.00 90.00 90.00°
Fractional coordinates of all 5 atoms:
Hf 0.000 0.000 0.000
Mg 0.500 0.500 0.500
Tl 0.000 0.000 0.500
Tl 0.000 0.500 0.000
Tl 0.500 0.000 0.000

The structure with the least stability is <P>.